This record from the Alexandria database describes an optimized crystal structure of KBa2Ni2F9. The functional is PBE with a Hubbard U.

symmetry: No. 160
calculated volume: 207 Å³ per cell
total magnetization: 4.00 μB per cell
DFT total energy: -68.9 eV per cell

a = 7.7925 Å, b = 7.7925 Å, c = 7.7925 Å
α = 43.98°, β = 43.98°, γ = 43.98°
With the nearest neighbours (Å) after each atom.
Fractional positions:
K  0.0000  0.0000  0.0000  12 F 2.80-3.11
Ba  0.5818  0.5818  0.5818  9 F 2.69-2.96
Ba  0.7871  0.7871  0.7871  12 F 2.75-2.92
Ni  0.1791  0.1791  0.1791  6 F 1.98-2.09
Ni  0.3946  0.3946  0.3946  6 F 1.97-2.10
F  0.0078  0.5201  0.5201  1 Ni 1.97
F  0.0569  0.0569  0.5643  1 Ni 1.98
F  0.0569  0.5643  0.0569  1 Ni 1.98
F  0.2930  0.2930  0.7830  2 Ni 2.09-2.10
F  0.2930  0.7830  0.2930  2 Ni 2.09-2.10
F  0.5201  0.0078  0.5201  1 Ni 1.97
F  0.5201  0.5201  0.0078  1 Ni 1.97
F  0.5643  0.0569  0.0569  1 Ni 1.98
F  0.7830  0.2930  0.2930  2 Ni 2.09-2.10



This record from the Alexandria database describes an optimized crystal structure of K2BaNi3F12. The functional is PBE with a Hubbard U.

symmetry: No. 166
calculated volume: 276 Å³ per cell
total magnetization: 8.00 μB per cell
DFT total energy: -77.4 eV per cell

a = 7.1481 Å, b = 7.1481 Å, c = 7.1481 Å
α = 63.04°, β = 63.04°, γ = 63.04°
With the nearest neighbours (Å) after each atom.
Fractional positions:
K  0.1134  0.1134  0.1134  3 F 2.62
K  0.8866  0.8866  0.8866  3 F 2.62
Ba  0.5000  0.5000  0.5000  12 F 2.71-2.96
Ni  0.0000  0.5000  0.5000  6 F 1.88-2.00
Ni  0.5000  0.0000  0.5000  6 F 1.88-2.00
Ni  0.5000  0.5000  0.0000  6 F 1.88-2.00
F  0.0526  0.6360  0.6360  1 Ni 1.88
F  0.2288  0.2288  0.6121  2 Ni 2.00
F  0.2288  0.6121  0.2288  2 Ni 2.00
F  0.3640  0.3640  0.9474  1 Ni 1.88
F  0.3640  0.9474  0.3640  1 Ni 1.88
F  0.3879  0.7712  0.7712  2 Ni 2.00
F  0.6121  0.2288  0.2288  2 Ni 2.00
F  0.6360  0.0526  0.6360  1 Ni 1.88
F  0.6360  0.6360  0.0526  1 Ni 1.88
F  0.7712  0.3879  0.7712  2 Ni 2.00
F  0.7712  0.7712  0.3879  2 Ni 2.00
F  0.9474  0.3640  0.3640  1 Ni 1.88



This record from the Alexandria database describes an optimized crystal structure of K2BaNiF6. The functional is PBE with a Hubbard U.

symmetry: No. 59
calculated volume: 377 Å³ per cell
total magnetization: 3.97 μB per cell
DFT total energy: -93.4 eV per cell

a = 6.0280 Å, b = 8.9525 Å, c = 6.9845 Å
α = 90.00°, β = 90.00°, γ = 90.00°
With the nearest neighbours (Å) after each atom.
Fractional positions:
K  0.2500  0.0433  0.1687  5 F 2.64-2.86
K  0.2500  0.4567  0.1687  5 F 2.64-2.86
K  0.7500  0.5433  0.8313  5 F 2.64-2.86
K  0.7500  0.9567  0.8313  5 F 2.64-2.86
Ba  0.2500  0.2500  0.6858  6 F 2.55-2.62
Ba  0.7500  0.7500  0.3142  6 F 2.55-2.62
Ni  0.2500  0.7500  0.8032  6 F 2.03-2.06
Ni  0.7500  0.2500  0.1968  6 F 2.03-2.06
F  0.0015  0.7500  0.6080  1 Ni 2.03
F  0.0188  0.7500  0.0201  1 Ni 2.06
F  0.2500  0.5218  0.7997  1 Ni 2.04
F  0.2500  0.9782  0.7997  1 Ni 2.04
F  0.4812  0.7500  0.0201  1 Ni 2.06
F  0.4985  0.7500  0.6080  1 Ni 2.03
F  0.5015  0.2500  0.3920  1 Ni 2.03
F  0.5188  0.2500  0.9799  1 Ni 2.06
F  0.7500  0.0218  0.2003  1 Ni 2.04
F  0.7500  0.4782  0.2003  1 Ni 2.04
F  0.9812  0.2500  0.9799  1 Ni 2.06
F  0.9985  0.2500  0.3920  1 Ni 2.03